Record 1
Gd2CdRu: optimized geometry, GGA-PBE.

Cell lengths 5.0832, 5.0832, 5.0832 Å; angles 60.00, 60.00, 60.00 degrees
Site moments in Bohr magnetons follow the coordinates.
Positions (direct):
1 Ru 0.5000 0.5000 0.5000  0.29
2 Gd 0.2500 0.2500 0.2500  -7.05
3 Gd 0.7500 0.7500 0.7500  -7.05
4 Cd 0.0000 0.0000 0.0000  0.00

Results
The energy above the most stable polymorph in this dataset is 108 meV/atom. As for the crystal system: cubic. As for the symmetry: Fm-3m. The formation energy is -0.251 eV per atom.



Record 2
GdCd2Ru: optimized geometry, GGA-PBE.

Cell lengths 4.9117, 4.9117, 4.9095 Å; angles 59.99, 59.99, 60.00 degrees
Site moments in Bohr magnetons follow the coordinates.
Positions (direct):
1 Ru 0.0000 0.0000 0.0000  0.31
2 Gd 0.5000 0.5000 0.5000  7.08
3 Cd 0.7501 0.7501 0.7496  0.04
4 Cd 0.2499 0.2499 0.2504  0.04

Results
As for the crystal system: cubic. As for the symmetry: Fm-3m. The formation energy is 0.073 eV per atom.



Record 3
GdTmCdRu: optimized geometry, GGA-PBE.

Cell lengths 5.0246, 5.0246, 5.0246 Å; angles 60.00, 60.00, 60.00 degrees
Site moments in Bohr magnetons follow the coordinates.
Positions (direct):
1 Gd 0.0000 0.0000 0.0000  -7.04
2 Ru 0.7500 0.7500 0.7500  0.13
3 Tm 0.5000 0.5000 0.5000  -0.04
4 Cd 0.2500 0.2500 0.2500  0.00

Results
As for the crystal system: cubic. As for the symmetry: F-43m. The formation energy is -0.287 eV per atom.



Record 4
GdZrCdRu: optimized geometry, GGA-PBE.

Cell lengths 4.9435, 4.9435, 4.9435 Å; angles 60.00, 60.00, 60.00 degrees
Site moments in Bohr magnetons follow the coordinates.
Positions (direct):
1 Ru 0.2500 0.2500 0.2500  -0.16
2 Gd 0.5000 0.5000 0.5000  7.04
3 Zr 0.0000 0.0000 0.0000  0.07
4 Cd 0.7500 0.7500 0.7500  0.00

Results
As for the crystal system: cubic. As for the symmetry: F-43m. The formation energy is -0.175 eV per atom.



Record 5
GdCdS2: optimized geometry, GGA-PBE.

Cell lengths 4.0373, 4.0373, 8.4824 Å; angles 76.23, 76.23, 60.00 degrees
Site moments in Bohr magnetons follow the coordinates.
Positions (direct):
1 S 0.1058 0.1058 0.6827  -0.02
2 S 0.8942 0.8942 0.3173  -0.02
3 Gd 0.5000 0.5000 0.5000  6.92
4 Cd 0.0000 0.0000 0.0000  0.00

Results
Its raw formation energy is -4.85 eV per formula unit. As for the crystal system: trigonal. As for the symmetry: R-3m.



Record 6
GdCdSb: optimized geometry, GGA-PBE.

Cell lengths 4.4010, 4.6649, 4.6649 Å; angles 120.00, 90.00, 90.00 degrees
Site moments in Bohr magnetons follow the coordinates.
Positions (direct):
1 Sb 0.2830 0.3333 0.6667  0.04
2 Gd 0.6854 0.6667 0.3333  -6.93
3 Cd 0.0316 0.0000 0.0000  0.01

Results
Its raw formation energy is -1.52 eV per formula unit. As for the crystal system: trigonal. As for the symmetry: P3m1.



Record 7
GdCdSb2: optimized geometry, GGA-PBE.

Cell lengths 4.2176, 4.9647, 4.9647 Å; angles 90.00, 90.00, 90.00 degrees
Site moments in Bohr magnetons follow the coordinates.
Positions (direct):
1 Sb 0.0000 0.0000 0.5000  -0.03
2 Sb 0.0000 0.5000 0.0000  -0.03
3 Gd 0.5000 0.5000 0.5000  6.90
4 Cd 0.5000 0.0000 0.0000  -0.01

Results
Its raw formation energy is -2.10 eV per formula unit. The energy above the most stable polymorph in this dataset is 0 meV/atom. As for the crystal system: tetragonal. As for the symmetry: P4/mmm.



Record 8
GdCdSb2: optimized geometry, GGA-PBE.

Cell lengths 4.5433, 4.5433, 7.1188 Å; angles 71.39, 71.39, 60.00 degrees
Site moments in Bohr magnetons follow the coordinates.
Positions (direct):
1 Sb 0.2519 0.2519 0.2444  -0.03
2 Sb 0.7481 0.7481 0.7556  -0.03
3 Gd 0.5000 0.5000 0.5000  6.94
4 Cd 0.0000 0.0000 0.0000  -0.01

Results
Its raw formation energy is -1.49 eV per formula unit. The energy above the most stable polymorph in this dataset is 152 meV/atom. As for the crystal system: trigonal. As for the symmetry: R-3m.



Record 9
GdSc2Cd: optimized geometry, GGA-PBE.

Cell lengths 3.2892, 3.2892, 11.3993 Å; angles 81.70, 81.70, 60.00 degrees
Site moments in Bohr magnetons follow the coordinates.
Positions (direct):
1 Sc 0.0942 0.0942 0.7173  0.22
2 Sc 0.9058 0.9058 0.2827  0.22
3 Gd 0.0000 0.0000 0.0000  7.43
4 Cd 0.5000 0.5000 0.5000  0.00

Results
The energy above the most stable polymorph in this dataset is 250 meV/atom. As for the crystal system: trigonal. As for the symmetry: R-3m. The formation energy is 0.147 eV per atom.



Record 10
GdSc2Cd: optimized geometry, GGA-PBE.

Cell lengths 5.1870, 5.1870, 5.1870 Å; angles 60.00, 60.00, 60.00 degrees
Site moments in Bohr magnetons follow the coordinates.
Positions (direct):
1 Sc 0.2500 0.2500 0.2500  0.43
2 Sc 0.7500 0.7500 0.7500  0.43
3 Gd 0.0000 0.0000 0.0000  7.62
4 Cd 0.5000 0.5000 0.5000  -0.01

Results
The energy above the most stable polymorph in this dataset is 97 meV/atom. As for the crystal system: cubic. As for the symmetry: Fm-3m. The formation energy is -0.006 eV per atom.



Record 11
Gd2ScCd: optimized geometry, GGA-PBE.

Cell lengths 3.6986, 5.4526, 5.4526 Å; angles 90.00, 90.00, 90.00 degrees
Site moments in Bohr magnetons follow the coordinates.
Positions (direct):
1 Sc 0.5000 0.5000 0.5000  0.17
2 Gd 0.0000 0.0000 0.5000  7.20
3 Gd 0.0000 0.5000 0.0000  7.20
4 Cd 0.5000 0.0000 0.0000  0.00

Results
The energy above the most stable polymorph in this dataset is 38 meV/atom. As for the crystal system: tetragonal. As for the symmetry: P4/mmm. The formation energy is -0.090 eV per atom.



Record 12
GdScCd: optimized geometry, GGA-PBE.

Cell lengths 3.5070, 3.5070, 6.8240 Å; angles 104.89, 104.89, 90.00 degrees
Site moments in Bohr magnetons follow the coordinates.
Positions (direct):
1 Sc 0.6023 0.6023 0.2045  0.27
2 Gd 0.2868 0.2868 0.5737  7.33
3 Cd 0.9609 0.9609 0.9218  0.00

Results
The energy above the most stable polymorph in this dataset is 0 meV/atom. As for the crystal system: tetragonal. As for the symmetry: I4mm. The formation energy is -0.185 eV per atom.



The following magnetization values (in μB per atom) correspond, in order, to the records above: 3.54 1.96 1.77 1.78 1.74 2.32 1.71 1.72 2.12 2.33 3.80 2.74.
The following N(E_F) values (in states/eV/f.u.) correspond, in order, to the records above: 3.88 5.09 3.65 3.45 1.87 2.56 1.71 3.31 6.25 6.56 6.80 3.25.
The following raw total energy values (in eV/atom) correspond, in order, to the records above: -9.839 -6.223 -7.472 -8.380 -7.026 -6.879 -6.335 -6.183 -6.768 -6.921 -8.943 -7.294.